(1)
Material: GaHO2
Method: DFT, PBE-GGA
State: optimized geometry

Summary:
**DFT total energy**: -5.5868 eV/atom
**M_tot**: 0.00 μB/f.u.
**Calculated density**: 4.1 g/cm³

abc: 14.1034 3.0372 3.8610
angles: 90.00 90.00 90.00
With the nearest neighbours (Å) after each atom.
Space group Pnma (No. 62)
Inequivalent atoms, fractional coordinates:
Ga 0.1854 0.2500 0.0823 (multiplicity 4)  6 O 1.97-2.07
H 0.0548 0.7500 0.8748 (multiplicity 4)  1 O 0.98
O 0.0928 0.7500 0.0865 (multiplicity 4)  1 H 0.98
O 0.2145 0.2500 0.5801 (multiplicity 4)  4 Ga 1.97-2.07

---

(2)
Material: Ga2HO
Method: DFT, PBE-GGA
State: optimized geometry

Summary:
**DFT total energy**: -3.9280 eV/atom
**M_tot**: 0.00 μB/f.u.
**Calculated density**: 4.9 g/cm³

abc: 4.9399 4.9399 8.7072
angles: 90.00 90.00 90.00
With the nearest neighbours (Å) after each atom.
Space group I-42d (No. 122)
Inequivalent atoms, fractional coordinates:
Ga 0.2360 0.2500 0.1250 (multiplicity 8)  2 H 2.02, 2 O 2.10
H 0.0000 0.0000 0.0000 (multiplicity 4)  4 Ga 2.02
O 0.0000 0.0000 0.5000 (multiplicity 4)  4 Ga 2.10

---

(3)
Material: Ga3HO
Method: DFT, PBE-GGA
State: optimized geometry

Summary:
**DFT total energy**: -3.2136 eV/atom
**M_tot**: 0.00 μB/f.u.
**Calculated density**: 5.2 g/cm³

abc: 4.1589 4.1589 4.1589
angles: 90.00 90.00 90.00
With the nearest neighbours (Å) after each atom.
Space group Pm-3m (No. 221)
Inequivalent atoms, fractional coordinates:
Ga 0.0000 0.0000 0.5000 (multiplicity 3)  2 H 2.08
H 0.0000 0.0000 0.0000 (multiplicity 1)  6 Ga 2.08
O 0.5000 0.5000 0.5000 (multiplicity 1)  12 Ga 2.94